No. 1
ReB2Mo2: relaxed, PBEsol.

Computed properties:
**DFT total energy**: -10.568 eV per atom
**ΔE_f**: -0.39 eV/atom
**Energy above the lowest structure with this stoichiometry**: 0 meV per atom
**Total magnetic moment**: 0.000 Bohr magnetons per cell

The structure in CIF format:
```
data_ReB2Mo2
_cell_length_a 5.969
_cell_length_b 5.969
_cell_length_c 3.104
_cell_angle_alpha 90.00
_cell_angle_beta 90.00
_cell_angle_gamma 90.00
_symmetry_space_group_name_H-M 'P 4/m b m'
_symmetry_Int_Tables_number 127
_symmetry_space_group_name_Hall '-P 4 2ab'
loop_
_atom_site_label
_atom_site_type_symbol
_atom_site_fract_x
_atom_site_fract_y
_atom_site_fract_z
_atom_site_occupancy
Re1 Re 0.000 0.000 0.000 1
B1 B 0.115 0.385 0.000 1
Mo1 Mo 0.170 0.670 0.500 1
```

No. 2
LaEr4Ge3: relaxed, PBEsol.

Computed properties:
**DFT total energy**: -5.773 eV per atom
**ΔE_f**: -0.79 eV/atom
**Total magnetic moment**: 0.000 Bohr magnetons per cell

The structure in CIF format:
```
data_LaEr4Ge3
_cell_length_a 8.4108
_cell_length_b 8.4108
_cell_length_c 6.4184
_cell_angle_alpha 90.00
_cell_angle_beta 90.00
_cell_angle_gamma 120.00
_symmetry_space_group_name_H-M 'P -3 1 m'
_symmetry_Int_Tables_number 162
_symmetry_space_group_name_Hall '-P 3 2'
loop_
_atom_site_label
_atom_site_type_symbol
_atom_site_fract_x
_atom_site_fract_y
_atom_site_fract_z
_atom_site_occupancy
La1 La 0.3333 0.6667 0.0000 1
Er1 Er 0.0000 0.2403 0.7427 1
Er2 Er 0.3333 0.6667 0.5000 1
Ge1 Ge 0.0000 0.3919 0.2721 1
```

No. 3
YInN2F: relaxed, PBEsol.

Computed properties:
**DFT total energy**: -6.379 eV per atom
**Energy above the lowest structure with this stoichiometry**: 0 meV per atom
**Total magnetic moment**: 0.000 Bohr magnetons per cell
**Formation energy without anion corrections**: -0.622 eV/atom

The structure in CIF format:
```
data_YInN2F
_cell_length_a 4.145
_cell_length_b 4.145
_cell_length_c 4.081
_cell_angle_alpha 90.00
_cell_angle_beta 90.00
_cell_angle_gamma 90.00
_symmetry_space_group_name_H-M 'P 4/m m m'
_symmetry_Int_Tables_number 123
_symmetry_space_group_name_Hall '-P 4 2'
loop_
_atom_site_label
_atom_site_type_symbol
_atom_site_fract_x
_atom_site_fract_y
_atom_site_fract_z
_atom_site_occupancy
Y1 Y 0.000 0.000 0.000 1
In1 In 0.500 0.500 0.500 1
N1 N 0.000 0.500 0.500 1
F1 F 0.500 0.500 0.000 1
```

No. 4
LaPNCl2: relaxed, PBEsol.

Computed properties:
**DFT total energy**: -4.971 eV per atom
**Total magnetic moment**: 0.004 Bohr magnetons per cell
**Formation energy without anion corrections**: -0.235 eV/atom

The structure in CIF format:
```
data_LaPNCl2
_cell_length_a 4.406
_cell_length_b 4.406
_cell_length_c 4.464
_cell_angle_alpha 90.00
_cell_angle_beta 90.00
_cell_angle_gamma 90.00
_symmetry_space_group_name_H-M 'P 4/m m m'
_symmetry_Int_Tables_number 123
_symmetry_space_group_name_Hall '-P 4 2'
loop_
_atom_site_label
_atom_site_type_symbol
_atom_site_fract_x
_atom_site_fract_y
_atom_site_fract_z
_atom_site_occupancy
La1 La 0.000 0.000 0.000 1
P1 P 0.500 0.500 0.000 1
N1 N 0.500 0.500 0.500 1
Cl1 Cl 0.000 0.500 0.500 1
```

No. 5
NdHo3: relaxed, PBEsol.

Computed properties:
**DFT total energy**: -4.989 eV per atom
**ΔE_f**: 0.02 eV/atom
**Energy above the lowest structure with this stoichiometry**: 0 meV per atom
**Total magnetic moment**: 0.000 Bohr magnetons per cell

The structure in CIF format:
```
data_NdHo3
_cell_length_a 4.933
_cell_length_b 4.933
_cell_length_c 4.933
_cell_angle_alpha 90.00
_cell_angle_beta 90.00
_cell_angle_gamma 90.00
_symmetry_space_group_name_H-M 'P m -3 m'
_symmetry_Int_Tables_number 221
_symmetry_space_group_name_Hall '-P 4 2 3'
loop_
_atom_site_label
_atom_site_type_symbol
_atom_site_fract_x
_atom_site_fract_y
_atom_site_fract_z
_atom_site_occupancy
Nd1 Nd 0.000 0.000 0.000 1
Ho1 Ho 0.000 0.500 0.500 1
```

No. 6
K2HgPb: relaxed, PBEsol.

Computed properties:
**DFT total energy**: -1.774 eV per atom
**ΔE_f**: -0.07 eV/atom
**Total magnetic moment**: 0.000 Bohr magnetons per cell

The structure in CIF format:
```
data_K2HgPb
_cell_length_a 4.923
_cell_length_b 4.923
_cell_length_c 10.719
_cell_angle_alpha 90.00
_cell_angle_beta 90.00
_cell_angle_gamma 90.00
_symmetry_space_group_name_H-M 'I 4/m m m'
_symmetry_Int_Tables_number 139
_symmetry_space_group_name_Hall '-I 4 2'
loop_
_atom_site_label
_atom_site_type_symbol
_atom_site_fract_x
_atom_site_fract_y
_atom_site_fract_z
_atom_site_occupancy
K1 K 0.000 0.500 0.250 1
Hg1 Hg 0.000 0.000 0.000 1
Pb1 Pb 0.000 0.000 0.500 1
```

No. 7
InOsCl2: relaxed, PBEsol.

Computed properties:
**DFT total energy**: -4.747 eV per atom
**Energy above the lowest structure with this stoichiometry**: 0 meV per atom
**Total magnetic moment**: 0.000 Bohr magnetons per cell
**Formation energy without anion corrections**: 0.056 eV/atom

The structure in CIF format:
```
data_InOsCl2
_cell_length_a 10.102
_cell_length_b 3.083
_cell_length_c 6.321
_cell_angle_alpha 90.00
_cell_angle_beta 115.64
_cell_angle_gamma 90.00
_symmetry_space_group_name_H-M 'C 1 m 1'
_symmetry_Int_Tables_number 8
_symmetry_space_group_name_Hall 'C -2y'
loop_
_atom_site_label
_atom_site_type_symbol
_atom_site_fract_x
_atom_site_fract_y
_atom_site_fract_z
_atom_site_occupancy
In1 In 0.000 0.000 0.000 1
Os1 Os 0.270 0.000 0.001 1
Cl1 Cl 0.163 0.500 0.683 1
Cl2 Cl 0.339 0.500 0.321 1
```

No. 8
CaSn3Rh: relaxed, PBEsol.

Computed properties:
**DFT total energy**: -4.799 eV per atom
**ΔE_f**: -0.19 eV/atom
**Total magnetic moment**: 0.001 Bohr magnetons per cell

The structure in CIF format:
```
data_CaSn3Rh
_cell_length_a 5.109
_cell_length_b 5.109
_cell_length_c 5.109
_cell_angle_alpha 90.00
_cell_angle_beta 90.00
_cell_angle_gamma 90.00
_symmetry_space_group_name_H-M 'P m -3 m'
_symmetry_Int_Tables_number 221
_symmetry_space_group_name_Hall '-P 4 2 3'
loop_
_atom_site_label
_atom_site_type_symbol
_atom_site_fract_x
_atom_site_fract_y
_atom_site_fract_z
_atom_site_occupancy
Ca1 Ca 0.000 0.000 0.000 1
Sn1 Sn 0.000 0.500 0.500 1
Rh1 Rh 0.500 0.500 0.500 1
```

No. 9
CaZrIn2: relaxed, PBEsol.

Computed properties:
**DFT total energy**: -4.360 eV per atom
**ΔE_f**: -0.06 eV/atom
**Total magnetic moment**: 0.001 Bohr magnetons per cell

The structure in CIF format:
```
data_CaZrIn2
_cell_length_a 3.342
_cell_length_b 3.342
_cell_length_c 8.917
_cell_angle_alpha 90.00
_cell_angle_beta 90.00
_cell_angle_gamma 90.00
_symmetry_space_group_name_H-M 'P 4 m m'
_symmetry_Int_Tables_number 99
_symmetry_space_group_name_Hall 'P 4 -2'
loop_
_atom_site_label
_atom_site_type_symbol
_atom_site_fract_x
_atom_site_fract_y
_atom_site_fract_z
_atom_site_occupancy
Ca1 Ca 0.000 0.000 0.000 1
Zr1 Zr 0.500 0.500 0.708 1
In1 In 0.000 0.000 0.491 1
In2 In 0.500 0.500 0.259 1
```

No. 10
ZnRePt2: relaxed, PBEsol.

Computed properties:
**DFT total energy**: -7.362 eV per atom
**ΔE_f**: -0.15 eV/atom
**Total magnetic moment**: 0.001 Bohr magnetons per cell

The structure in CIF format:
```
data_ZnRePt2
_cell_length_a 8.999
_cell_length_b 2.720
_cell_length_c 4.784
_cell_angle_alpha 90.00
_cell_angle_beta 98.13
_cell_angle_gamma 90.00
_symmetry_space_group_name_H-M 'C 1 m 1'
_symmetry_Int_Tables_number 8
_symmetry_space_group_name_Hall 'C -2y'
loop_
_atom_site_label
_atom_site_type_symbol
_atom_site_fract_x
_atom_site_fract_y
_atom_site_fract_z
_atom_site_occupancy
Zn1 Zn 0.000 0.000 0.000 1
Re1 Re 0.253 0.500 0.299 1
Pt1 Pt 0.251 0.000 0.800 1
Pt2 Pt 0.497 0.000 0.490 1
```

No. 11
YSi2Hg: relaxed, PBEsol.

Computed properties:
**DFT total energy**: -4.824 eV per atom
**Total magnetic moment**: 0.001 Bohr magnetons per cell
**Formation energy without anion corrections**: -0.104 eV/atom

The structure in CIF format:
```
data_YSi2Hg
_cell_length_a 3.626
_cell_length_b 3.626
_cell_length_c 6.108
_cell_angle_alpha 90.00
_cell_angle_beta 90.00
_cell_angle_gamma 90.00
_symmetry_space_group_name_H-M 'P 4/m m m'
_symmetry_Int_Tables_number 123
_symmetry_space_group_name_Hall '-P 4 2'
loop_
_atom_site_label
_atom_site_type_symbol
_atom_site_fract_x
_atom_site_fract_y
_atom_site_fract_z
_atom_site_occupancy
Y1 Y 0.000 0.000 0.000 1
Si1 Si 0.500 0.500 0.296 1
Hg1 Hg 0.000 0.000 0.500 1
```

No. 12
TlSiSb2I: relaxed, PBEsol.

Computed properties:
**DFT total energy**: -3.480 eV per atom
**Total magnetic moment**: 0.001 Bohr magnetons per cell
**Formation energy without anion corrections**: 0.371 eV/atom

The structure in CIF format:
```
data_TlSiSb2I
_cell_length_a 5.204
_cell_length_b 5.204
_cell_length_c 5.725
_cell_angle_alpha 90.00
_cell_angle_beta 90.00
_cell_angle_gamma 90.00
_symmetry_space_group_name_H-M 'P 4/m m m'
_symmetry_Int_Tables_number 123
_symmetry_space_group_name_Hall '-P 4 2'
loop_
_atom_site_label
_atom_site_type_symbol
_atom_site_fract_x
_atom_site_fract_y
_atom_site_fract_z
_atom_site_occupancy
Tl1 Tl 0.000 0.000 0.000 1
Si1 Si 0.500 0.500 0.500 1
Sb1 Sb 0.000 0.500 0.500 1
I1 I 0.500 0.500 0.000 1
```

No. 13
LiCoC2O6: relaxed, PBEsol.

Computed properties:
**DFT total energy**: -7.467 eV per atom
**Energy above the lowest structure with this stoichiometry**: 0 meV per atom
**Total magnetic moment**: 0.002 Bohr magnetons per cell
**Formation energy without anion corrections**: -1.418 eV/atom

The structure in CIF format:
```
data_LiCoC2O6
_cell_length_a 4.4864
_cell_length_b 4.4864
_cell_length_c 14.5041
_cell_angle_alpha 90.00
_cell_angle_beta 90.00
_cell_angle_gamma 120.00
_symmetry_space_group_name_H-M 'R -3'
_symmetry_Int_Tables_number 148
_symmetry_space_group_name_Hall '-R 3'
loop_
_atom_site_label
_atom_site_type_symbol
_atom_site_fract_x
_atom_site_fract_y
_atom_site_fract_z
_atom_site_occupancy
Li1 Li 0.0000 0.0000 0.0000 1
Co1 Co 0.0000 0.0000 0.5000 1
C1 C 0.0000 0.0000 0.2408 1
O1 O 0.0190 0.7221 0.2426 1
```

No. 14
ZrSiTe2I: relaxed, PBEsol.

Computed properties:
**DFT total energy**: -4.433 eV per atom
**Total magnetic moment**: 1.016 Bohr magnetons per cell
**Formation energy without anion corrections**: 0.298 eV/atom

The structure in CIF format:
```
data_ZrSiTe2I
_cell_length_a 5.531
_cell_length_b 5.531
_cell_length_c 5.534
_cell_angle_alpha 90.00
_cell_angle_beta 90.00
_cell_angle_gamma 90.00
_symmetry_space_group_name_H-M 'P 4/m m m'
_symmetry_Int_Tables_number 123
_symmetry_space_group_name_Hall '-P 4 2'
loop_
_atom_site_label
_atom_site_type_symbol
_atom_site_fract_x
_atom_site_fract_y
_atom_site_fract_z
_atom_site_occupancy
Zr1 Zr 0.000 0.000 0.000 1
Si1 Si 0.500 0.500 0.500 1
Te1 Te 0.000 0.500 0.000 1
I1 I 0.000 0.000 0.500 1
```

No. 15
VF5: relaxed, PBEsol.

Computed properties:
**DFT total energy**: -5.896 eV per atom
**Total magnetic moment**: 0.004 Bohr magnetons per cell
**Formation energy without anion corrections**: -2.684 eV/atom

The structure in CIF format:
```
data_VF5
_cell_length_a 8.272
_cell_length_b 9.666
_cell_length_c 4.895
_cell_angle_alpha 90.00
_cell_angle_beta 90.00
_cell_angle_gamma 90.00
_symmetry_space_group_name_H-M 'P n m a'
_symmetry_Int_Tables_number 62
_symmetry_space_group_name_Hall '-P 2ac 2n'
loop_
_atom_site_label
_atom_site_type_symbol
_atom_site_fract_x
_atom_site_fract_y
_atom_site_fract_z
_atom_site_occupancy
V1 V 0.085 0.250 0.210 1
F1 F 0.072 0.127 0.468 1
F2 F 0.103 0.750 0.936 1
F3 F 0.194 0.126 0.027 1
```

No. 16
Li3CoSiO5: relaxed, PBEsol.

Computed properties:
**DFT total energy**: -6.591 eV per atom
**Total magnetic moment**: 15.065 Bohr magnetons per cell
**Formation energy without anion corrections**: -2.028 eV/atom

The structure in CIF format:
```
data_Li3CoSiO5
_cell_length_a 5.364
_cell_length_b 15.541
_cell_length_c 4.863
_cell_angle_alpha 90.00
_cell_angle_beta 90.00
_cell_angle_gamma 90.00
_symmetry_space_group_name_H-M 'P n a 21'
_symmetry_Int_Tables_number 33
_symmetry_space_group_name_Hall 'P 2c -2n'
loop_
_atom_site_label
_atom_site_type_symbol
_atom_site_fract_x
_atom_site_fract_y
_atom_site_fract_z
_atom_site_occupancy
Li1 Li 0.164 0.005 0.000 1
Li2 Li 0.168 0.593 0.996 1
Li3 Li 0.173 0.197 0.004 1
Co1 Co 0.171 0.801 0.997 1
Si1 Si 0.164 0.402 0.004 1
O1 O 0.124 0.602 0.600 1
O2 O 0.157 0.203 0.591 1
O3 O 0.177 0.395 0.659 1
O4 O 0.184 0.986 0.603 1
O5 O 0.188 0.812 0.609 1
```

No. 17
Cs2NaSbBr6: relaxed, PBEsol.

Computed properties:
**DFT total energy**: -3.205 eV per atom
**Total magnetic moment**: 0.000 Bohr magnetons per cell
**Formation energy without anion corrections**: -1.299 eV/atom

The structure in CIF format:
```
data_Cs2NaSbBr6
_cell_length_a 11.267
_cell_length_b 11.267
_cell_length_c 11.267
_cell_angle_alpha 90.00
_cell_angle_beta 90.00
_cell_angle_gamma 90.00
_symmetry_space_group_name_H-M 'F m -3 m'
_symmetry_Int_Tables_number 225
_symmetry_space_group_name_Hall '-F 4 2 3'
loop_
_atom_site_label
_atom_site_type_symbol
_atom_site_fract_x
_atom_site_fract_y
_atom_site_fract_z
_atom_site_occupancy
Cs1 Cs 0.250 0.250 0.250 1
Na1 Na 0.000 0.000 0.000 1
Sb1 Sb 0.000 0.000 0.500 1
Br1 Br 0.000 0.000 0.254 1
```

No. 18
ScPPtCl2: relaxed, PBEsol.

Computed properties:
**DFT total energy**: -4.774 eV per atom
**Total magnetic moment**: 0.001 Bohr magnetons per cell
**Formation energy without anion corrections**: -0.098 eV/atom

The structure in CIF format:
```
data_ScPPtCl2
_cell_length_a 4.667
_cell_length_b 4.667
_cell_length_c 4.832
_cell_angle_alpha 90.00
_cell_angle_beta 90.00
_cell_angle_gamma 90.00
_symmetry_space_group_name_H-M 'P 4/m m m'
_symmetry_Int_Tables_number 123
_symmetry_space_group_name_Hall '-P 4 2'
loop_
_atom_site_label
_atom_site_type_symbol
_atom_site_fract_x
_atom_site_fract_y
_atom_site_fract_z
_atom_site_occupancy
Sc1 Sc 0.000 0.000 0.000 1
P1 P 0.500 0.500 0.000 1
Pt1 Pt 0.500 0.500 0.500 1
Cl1 Cl 0.000 0.500 0.500 1
```

No. 19
TbTmHg2: relaxed, PBEsol.

Computed properties:
**DFT total energy**: -3.336 eV per atom
**ΔE_f**: -0.58 eV/atom
**Total magnetic moment**: 0.014 Bohr magnetons per cell

The structure in CIF format:
```
data_TbTmHg2
_cell_length_a 7.278
_cell_length_b 7.278
_cell_length_c 7.278
_cell_angle_alpha 90.00
_cell_angle_beta 90.00
_cell_angle_gamma 90.00
_symmetry_space_group_name_H-M 'F m -3 m'
_symmetry_Int_Tables_number 225
_symmetry_space_group_name_Hall '-F 4 2 3'
loop_
_atom_site_label
_atom_site_type_symbol
_atom_site_fract_x
_atom_site_fract_y
_atom_site_fract_z
_atom_site_occupancy
Tb1 Tb 0.000 0.000 0.000 1
Tm1 Tm 0.000 0.000 0.500 1
Hg1 Hg 0.250 0.250 0.250 1
```

No. 20
SrSn3Cl: relaxed, PBEsol.

Computed properties:
**DFT total energy**: -2.470 eV per atom
**Total magnetic moment**: 2.219 Bohr magnetons per cell
**Formation energy without anion corrections**: 0.855 eV/atom

The structure in CIF format:
```
data_SrSn3Cl
_cell_length_a 6.032
_cell_length_b 6.032
_cell_length_c 6.032
_cell_angle_alpha 90.00
_cell_angle_beta 90.00
_cell_angle_gamma 90.00
_symmetry_space_group_name_H-M 'P m -3 m'
_symmetry_Int_Tables_number 221
_symmetry_space_group_name_Hall '-P 4 2 3'
loop_
_atom_site_label
_atom_site_type_symbol
_atom_site_fract_x
_atom_site_fract_y
_atom_site_fract_z
_atom_site_occupancy
Sr1 Sr 0.000 0.000 0.000 1
Sn1 Sn 0.000 0.000 0.500 1
Cl1 Cl 0.500 0.500 0.500 1
```